Computed, not measured: a relaxed YBP2O8 crystal at the PBE level of DFT.

```
YBP2O8
1.0
4.866 0.000 0.000
-2.433 4.214 0.000
0.000 0.000 6.160
O P Y B
8 2 1 1
direct
0.667 0.333 0.491
0.842 0.158 0.171
0.316 0.158 0.171
0.842 0.684 0.171
0.684 0.842 0.829
0.158 0.316 0.829
0.333 0.667 0.509
0.158 0.842 0.829
0.667 0.333 0.241
0.333 0.667 0.759
0.000 0.000 0.500
0.000 0.000 0.000
```

Raw formation energy: -26.58 eV/f.u.
Space-group type: No. 164
Total DFT energy (no corrections): -90.21 eV per cell